# 1
## Sr2Li12AgPd3 (GGA-PBE)

Data for a geometry-optimized Sr2Li12AgPd3 structure.

raw total energy = -2.625 eV/atom
total moment = 0.0 μB per formula unit
formation energy = -138 meV per atom

a b c (Å): 7.151 7.151 7.151
angles (deg): 84.70 84.70 84.70
Positions (direct):
Sr 0.238 0.238 0.238
Sr 0.762 0.762 0.762
Li 0.151 0.584 0.584
Li 0.186 0.186 0.725
Li 0.186 0.725 0.186
Li 0.275 0.814 0.814
Li 0.416 0.416 0.849
Li 0.416 0.849 0.416
Li 0.584 0.151 0.584
Li 0.584 0.584 0.151
Li 0.725 0.186 0.186
Li 0.814 0.275 0.814
Li 0.814 0.814 0.275
Li 0.849 0.416 0.416
Ag 0.000 0.000 0.000
Pd 0.000 0.000 0.500
Pd 0.000 0.500 0.000
Pd 0.500 0.000 0.000

=====

# 2
## Sr2LiAg6Pd (GGA-PBE)

Data for a geometry-optimized Sr2LiAg6Pd structure.

raw total energy = -2.935 eV/atom
total moment = 0.0 μB per formula unit
formation energy = -177 meV per atom

a b c (Å): 7.083 7.083 9.261
angles (deg): 129.61 129.61 45.90
Positions (direct):
Sr 0.031 0.031 0.305
Sr 0.969 0.969 0.695
Li 0.500 0.500 0.000
Ag 0.007 0.510 0.754
Ag 0.335 0.335 0.085
Ag 0.490 0.993 0.246
Ag 0.510 0.007 0.754
Ag 0.665 0.665 0.915
Ag 0.993 0.490 0.246
Pd 0.500 0.500 0.500

=====

# 3
## LiTbAgPd (GGA-PBE)

Data for a geometry-optimized LiTbAgPd structure.

raw total energy = -4.076 eV/atom
total moment = 0.0 μB per formula unit
formation energy = -429 meV per atom

a b c (Å): 4.828 4.828 4.828
angles (deg): 60.00 60.00 60.00
Positions (direct):
Li 0.000 0.000 0.000
Tb 0.500 0.500 0.500
Ag 0.750 0.750 0.750
Pd 0.250 0.250 0.250

=====

# 4
## Li5TlAg2Pd2 (GGA-PBE)

Data for a geometry-optimized Li5TlAg2Pd2 structure.

raw total energy = -3.020 eV/atom
total moment = 0.0 μB per formula unit
formation energy = -217 meV per atom

a b c (Å): 9.359 9.359 3.910
angles (deg): 90.00 90.00 90.00
Positions (direct):
Li 0.000 0.500 0.000
Li 0.078 0.209 0.000
Li 0.209 0.922 0.000
Li 0.291 0.422 0.000
Li 0.422 0.709 0.000
Li 0.500 0.000 0.000
Li 0.578 0.291 0.000
Li 0.709 0.578 0.000
Li 0.791 0.078 0.000
Li 0.922 0.791 0.000
Tl 0.000 0.000 0.500
Tl 0.500 0.500 0.500
Ag 0.178 0.678 0.500
Ag 0.322 0.178 0.500
Ag 0.678 0.822 0.500
Ag 0.822 0.322 0.500
Pd 0.113 0.387 0.500
Pd 0.387 0.887 0.500
Pd 0.613 0.113 0.500
Pd 0.887 0.613 0.500

=====

# 5
## LiTmAgPd (GGA-PBE)

Data for a geometry-optimized LiTmAgPd structure.

raw total energy = -4.072 eV/atom
total moment = 0.0 μB per formula unit
formation energy = -465 meV per atom

a b c (Å): 4.759 4.759 4.759
angles (deg): 60.00 60.00 60.00
Positions (direct):
Li 0.000 0.000 0.000
Tm 0.500 0.500 0.500
Ag 0.250 0.250 0.250
Pd 0.750 0.750 0.750

=====

# 6
## LiYAgPd (GGA-PBE)

Data for a geometry-optimized LiYAgPd structure.

raw total energy = -4.544 eV/atom
total moment = 0.0 μB per formula unit
formation energy = -439 meV per atom

a b c (Å): 4.820 4.820 4.820
angles (deg): 60.00 60.00 60.00
Positions (direct):
Li 0.000 0.000 0.000
Y 0.500 0.500 0.500
Ag 0.750 0.750 0.750
Pd 0.250 0.250 0.250

=====

# 7
## Li5ZnAg2Pd2 (GGA-PBE)

Data for a geometry-optimized Li5ZnAg2Pd2 structure.

raw total energy = -2.875 eV/atom
total moment = 0.0 μB per formula unit
formation energy = -182 meV per atom

a b c (Å): 9.246 9.246 3.827
angles (deg): 90.00 90.00 90.00
Positions (direct):
Li 0.000 0.500 0.000
Li 0.079 0.201 0.000
Li 0.201 0.921 0.000
Li 0.299 0.421 0.000
Li 0.421 0.701 0.000
Li 0.500 0.000 0.000
Li 0.579 0.299 0.000
Li 0.701 0.579 0.000
Li 0.799 0.079 0.000
Li 0.921 0.799 0.000
Zn 0.000 0.000 0.500
Zn 0.500 0.500 0.500
Ag 0.178 0.678 0.500
Ag 0.322 0.178 0.500
Ag 0.678 0.822 0.500
Ag 0.822 0.322 0.500
Pd 0.114 0.386 0.500
Pd 0.386 0.886 0.500
Pd 0.614 0.114 0.500
Pd 0.886 0.614 0.500

=====

# 8
## Li2Zn2AgPd5 (GGA-PBE)

Data for a geometry-optimized Li2Zn2AgPd5 structure.

raw total energy = -3.827 eV/atom
total moment = 0.0 μB per formula unit
formation energy = -308 meV per atom

a b c (Å): 9.059 9.059 3.959
angles (deg): 90.00 90.00 90.00
Positions (direct):
Li 0.172 0.328 0.000
Li 0.328 0.828 0.000
Li 0.672 0.172 0.000
Li 0.828 0.672 0.000
Zn 0.127 0.627 0.000
Zn 0.373 0.127 0.000
Zn 0.627 0.873 0.000
Zn 0.873 0.373 0.000
Ag 0.000 0.000 0.000
Ag 0.500 0.500 0.000
Pd 0.000 0.500 0.500
Pd 0.079 0.798 0.500
Pd 0.202 0.079 0.500
Pd 0.298 0.579 0.500
Pd 0.421 0.298 0.500
Pd 0.500 0.000 0.500
Pd 0.579 0.702 0.500
Pd 0.702 0.421 0.500
Pd 0.798 0.921 0.500
Pd 0.921 0.202 0.500

=====

# 9
## Li3Zn2AgPd3 (GGA-PBE)

Data for a geometry-optimized Li3Zn2AgPd3 structure.

raw total energy = -3.381 eV/atom
total moment = 0.0 μB per formula unit
formation energy = -413 meV per atom

a b c (Å): 7.350 7.350 2.819
angles (deg): 90.00 90.00 120.00
Positions (direct):
Li 0.000 0.299 0.000
Li 0.299 0.000 0.000
Li 0.701 0.701 0.000
Zn 0.333 0.667 0.000
Zn 0.667 0.333 0.000
Ag 0.000 0.000 0.500
Pd 0.000 0.616 0.500
Pd 0.384 0.384 0.500
Pd 0.616 0.000 0.500

=====

# 10
## Li2Zn4AgPd (GGA-PBE)

Data for a geometry-optimized Li2Zn4AgPd structure.

raw total energy = -2.427 eV/atom
total moment = 0.0 μB per formula unit
formation energy = -306 meV per atom

a b c (Å): 4.359 4.338 6.264
angles (deg): 90.00 90.40 90.00
Positions (direct):
Li 0.000 0.000 0.000
Li 0.500 0.500 0.500
Zn 0.001 0.500 0.261
Zn 0.498 0.000 0.262
Zn 0.502 0.000 0.738
Zn 0.999 0.500 0.739
Ag 0.500 0.500 0.000
Pd 0.000 0.000 0.500

=====

# 11
## LiZrAgPd (GGA-PBE)

Data for a geometry-optimized LiZrAgPd structure.

raw total energy = -4.907 eV/atom
total moment = 0.0 μB per formula unit
formation energy = -280 meV per atom

a b c (Å): 4.635 4.635 4.635
angles (deg): 60.00 60.00 60.00
Positions (direct):
Li 0.000 0.000 0.000
Zr 0.500 0.500 0.500
Ag 0.750 0.750 0.750
Pd 0.250 0.250 0.250

=====

# 12
## Li2PmAg3 (GGA-PBE)

Data for a geometry-optimized Li2PmAg3 structure.

raw total energy = -3.055 eV/atom
total moment = 0.0 μB per formula unit
formation energy = -200 meV per atom

a b c (Å): 4.590 4.590 13.289
angles (deg): 90.00 90.00 120.00
Positions (direct):
Li 0.333 0.667 0.071
Li 0.333 0.667 0.429
Li 0.667 0.333 0.571
Li 0.667 0.333 0.929
Pm 0.000 0.000 0.250
Pm 0.000 0.000 0.750
Ag 0.000 0.000 0.000
Ag 0.000 0.000 0.500
Ag 0.333 0.667 0.627
Ag 0.333 0.667 0.873
Ag 0.667 0.333 0.127
Ag 0.667 0.333 0.373

=====

# 13
## Li6PmAg6 (GGA-PBE)

Data for a geometry-optimized Li6PmAg6 structure.

raw total energy = -2.718 eV/atom
offset from the most stable computed form = 0.007 eV/atom
total moment = 0.0 μB per formula unit
formation energy = -153 meV per atom

a b c (Å): 7.116 7.116 7.116
angles (deg): 136.28 98.01 97.92
Positions (direct):
Li 0.000 0.000 0.500
Li 0.000 0.500 0.000
Li 0.231 0.000 0.231
Li 0.500 0.000 0.000
Li 0.500 0.500 0.500
Li 0.769 0.000 0.769
Pm 0.000 0.500 0.500
Ag 0.208 0.208 0.000
Ag 0.346 0.500 0.846
Ag 0.348 0.848 0.500
Ag 0.652 0.152 0.500
Ag 0.654 0.500 0.154
Ag 0.792 0.792 0.000

=====

# 14
## LiPmAg4 (GGA-PBE)

Data for a geometry-optimized LiPmAg4 structure.

raw total energy = -3.211 eV/atom
offset from the most stable computed form = 0.000 eV/atom
total moment = 0.0 μB per formula unit
formation energy = -200 meV per atom

a b c (Å): 5.381 4.699 5.394
angles (deg): 90.00 116.27 90.00
Positions (direct):
Li 0.000 0.000 0.000
Pm 0.516 0.500 0.516
Ag 0.057 0.000 0.523
Ag 0.179 0.500 0.862
Ag 0.522 0.000 0.057
Ag 0.861 0.500 0.179

=====

# 15
## LiPm3Ag2 (GGA-PBE)

Data for a geometry-optimized LiPm3Ag2 structure.

raw total energy = -3.785 eV/atom
offset from the most stable computed form = 0.009 eV/atom
total moment = 0.0 μB per formula unit
formation energy = -140 meV per atom

a b c (Å): 3.755 3.755 11.205
angles (deg): 90.00 90.00 90.00
Positions (direct):
Li 0.000 0.000 0.000
Pm 0.500 0.500 0.173
Pm 0.500 0.500 0.500
Pm 0.500 0.500 0.827
Ag 0.000 0.000 0.331
Ag 0.000 0.000 0.669

=====

# 16
## Li5PmAg4 (GGA-PBE)

Data for a geometry-optimized Li5PmAg4 structure.

raw total energy = -2.708 eV/atom
total moment = 0.0 μB per formula unit
formation energy = -136 meV per atom

a b c (Å): 3.300 3.300 16.506
angles (deg): 90.00 90.00 90.00
Positions (direct):
Li 0.000 0.000 0.000
Li 0.000 0.000 0.183
Li 0.000 0.000 0.358
Li 0.000 0.000 0.642
Li 0.000 0.000 0.817
Pm 0.500 0.500 0.500
Ag 0.500 0.500 0.091
Ag 0.500 0.500 0.275
Ag 0.500 0.500 0.725
Ag 0.500 0.500 0.909

=====

# 17
## Li3Pm2Ag3 (GGA-PBE)

Data for a geometry-optimized Li3Pm2Ag3 structure.

raw total energy = -3.049 eV/atom
total moment = 0.0 μB per formula unit
formation energy = -74 meV per atom

a b c (Å): 8.253 8.253 6.773
angles (deg): 90.00 90.00 120.00
Positions (direct):
Li 0.000 0.247 0.250
Li 0.000 0.753 0.750
Li 0.247 0.000 0.250
Li 0.247 0.247 0.750
Li 0.753 0.000 0.750
Li 0.753 0.753 0.250
Pm 0.333 0.667 0.000
Pm 0.333 0.667 0.500
Pm 0.667 0.333 0.000
Pm 0.667 0.333 0.500
Ag 0.000 0.381 0.750
Ag 0.000 0.619 0.250
Ag 0.381 0.000 0.750
Ag 0.381 0.381 0.250
Ag 0.619 0.000 0.250
Ag 0.619 0.619 0.750

=====

# 18
## Li2PmAg9 (GGA-PBE)

Data for a geometry-optimized Li2PmAg9 structure.

raw total energy = -2.944 eV/atom
total moment = 0.0 μB per formula unit
formation energy = -91 meV per atom

a b c (Å): 9.817 9.817 9.817
angles (deg): 32.75 32.75 32.75
Positions (direct):
Li 0.148 0.148 0.148
Li 0.852 0.852 0.852
Pm 0.000 0.000 0.000
Ag 0.083 0.587 0.587
Ag 0.333 0.333 0.333
Ag 0.413 0.413 0.917
Ag 0.413 0.917 0.413
Ag 0.500 0.500 0.500
Ag 0.587 0.083 0.587
Ag 0.587 0.587 0.083
Ag 0.667 0.667 0.667
Ag 0.917 0.413 0.413

=====

# 19
## Li2PmAg2 (GGA-PBE)

Data for a geometry-optimized Li2PmAg2 structure.

raw total energy = -3.052 eV/atom
offset from the most stable computed form = 0.000 eV/atom
total moment = 0.0 μB per formula unit
formation energy = -196 meV per atom

a b c (Å): 4.024 4.024 6.569
angles (deg): 90.00 90.00 90.00
Positions (direct):
Li 0.000 0.500 0.000
Li 0.500 0.000 0.000
Pm 0.000 0.000 0.500
Ag 0.500 0.500 0.281
Ag 0.500 0.500 0.719

=====

# 20
## Li12PmAg6 (GGA-PBE)

Data for a geometry-optimized Li12PmAg6 structure.

raw total energy = -2.419 eV/atom
total moment = 0.0 μB per formula unit
formation energy = -60 meV per atom

a b c (Å): 7.361 7.361 7.361
angles (deg): 101.91 101.91 101.91
Positions (direct):
Li 0.000 0.390 0.610
Li 0.000 0.610 0.390
Li 0.058 0.058 0.330
Li 0.058 0.330 0.058
Li 0.330 0.058 0.058
Li 0.390 0.000 0.610
Li 0.390 0.610 0.000
Li 0.610 0.000 0.390
Li 0.610 0.390 0.000
Li 0.670 0.942 0.942
Li 0.942 0.670 0.942
Li 0.942 0.942 0.670
Pm 0.500 0.500 0.500
Ag 0.237 0.736 0.736
Ag 0.264 0.264 0.763
Ag 0.264 0.763 0.264
Ag 0.736 0.237 0.736
Ag 0.736 0.736 0.237
Ag 0.763 0.264 0.264